First-principles (PBE) data for a relaxed Rb2NaMgMo crystal, as listed in Alexandria.

Cell lengths 7.038, 5.995, 7.038 Å; angles 90.00, 90.00, 90.00 degrees
Each line ends with the local moment (μB).
Fractional coordinates of all 5 atoms:
Na: 0.000 0.500 0.000  0.00
Rb: 0.000 0.000 0.500  0.00
Rb: 0.500 0.000 0.000  0.00
Mg: 0.000 0.000 0.000  0.00
Mo: 0.500 0.500 0.500  4.01

Calculated values
Space group: P4/mmm
Fermi-level density of states, states/eV per atom: 0.93
Total magnetic moment, μB per atom: 1.058
E_tot, eV/cell: -9.225
ΔE_f, eV/atom: 1.291
ρ, g/cm3: 1.8



First-principles (PBE) data for a relaxed NaMgSbMo2 crystal, as listed in Alexandria.

Cell lengths 5.040, 5.309, 5.040 Å; angles 90.00, 90.00, 90.00 degrees
Fractional coordinates of all 5 atoms:
Sb: 0.000 0.000 0.000
Mg: 0.000 0.500 0.000
Na: 0.500 0.500 0.500
Mo: 0.500 0.000 0.000
Mo: 0.000 0.000 0.500

Calculated values
Space group: P4/mmm
Fermi-level density of states, states/eV per atom: 1.55
Total magnetic moment, μB per atom: 0.000
ΔE_f (raw), eV per atom: 1.42
E_tot, eV/cell: -21.608
ρ, g/cm3: 4.4



First-principles (PBE) data for a relaxed NaMg2SbMo crystal, as listed in Alexandria.

Cell lengths 5.025, 5.252, 5.025 Å; angles 90.00, 90.00, 90.00 degrees
Each line ends with the local moment (μB).
Fractional coordinates of all 5 atoms:
Sb: 0.000 0.500 0.000  -0.06
Mg: 0.500 0.000 0.000  -0.02
Mg: 0.000 0.000 0.500  -0.04
Mo: 0.500 0.500 0.500  3.30
Na: 0.000 0.000 0.000  -0.01

Calculated values
Space group: P4/mmm
Fermi-level density of states, states/eV per atom: 0.41
Total magnetic moment, μB per atom: 0.740
ΔE_f (raw), eV per atom: 1.25
E_tot, eV/cell: -13.195
ρ, g/cm3: 3.6



Q: Among the records above, which one has the lowest total magnetic moment?
A: NaMgSbMo2